a) The following is a meta-GGA SCAN calculation of a crystal of ZnCu2Pb relaxed with PBEsol, from the Alexandria database.

Cell and atoms, written as POSCAR:
```
ZnCu2Pb
1.0
-1.3199 3.2741 1.7419
-3.6647 -1.4354 -0.0789
3.0847 -2.6335 2.8391
Zn Pb Cu
1 1 2
direct
0.2500 0.7500 0.5000 Zn
0.5000 0.5000 0.0000 Pb
0.7500 0.2500 0.5000 Cu
0.0000 0.0000 0.0000 Cu
```

Calculated values
Symmetry: I-4m2, No. 119

=====

b) The following is a meta-GGA SCAN calculation of a crystal of ZnCu2Pb relaxed with PBEsol, from the Alexandria database.

Cell and atoms, written as POSCAR:
```
ZnCu2Pb
1.0
-2.4273 0.5867 -1.9138
-1.7350 -2.3764 -1.1141
-6.1795 -0.0290 5.2426
Zn Cu Pb
1 2 1
direct
0.0000 0.0000 0.0000 Zn
0.2610 0.2610 0.2171 Cu
0.7390 0.7390 0.7829 Cu
0.5000 0.5000 0.5000 Pb
```

Calculated values
Symmetry: R-3m, No. 166

=====

Structures ranked by computed energy, the most stable listed first: a), b).